# 1
Entry from Alexandria: YTmLuZr after structural relaxation (GGA-PBE).

Lattice parameters (Å, degrees): 5.4475 5.4475 5.4475 60.00 60.00 60.00
With the nearest neighbours (Å) after each atom.
Atoms (fractional coordinates):
1 Y 0.0000 0.0000 0.0000  4 Tm 3.34, 4 Lu 3.34
2 Tm 0.7500 0.7500 0.7500  4 Y 3.34, 4 Zr 3.34
3 Lu 0.2500 0.2500 0.2500  4 Zr 3.34, 4 Y 3.34
4 Zr 0.5000 0.5000 0.5000  4 Tm 3.34, 4 Lu 3.34

=====

# 2
Entry from Alexandria: Mg2TiTcCl after structural relaxation (GGA-PBE).

Lattice parameters (Å, degrees): 5.2866 5.2866 4.4082 90.00 90.00 90.00
With the nearest neighbours (Å) after each atom.
Atoms (fractional coordinates):
1 Mg 0.0000 0.5000 0.0000  2 Tc 2.64
2 Mg 0.5000 0.0000 0.0000  2 Tc 2.64
3 Ti 0.0000 0.0000 0.5000  2 Tc 2.20
4 Tc 0.0000 0.0000 0.0000  2 Ti 2.20
5 Cl 0.5000 0.5000 0.5000  8 Mg 3.44, 4 Ti 3.74

Values from the calculation:
- Uncorrected formation energy: 1.7 eV/f.u.

=====

# 3
Entry from Alexandria: Tb3Ho4Cd2 after structural relaxation (GGA-PBE).

Lattice parameters (Å, degrees): 7.7022 7.7022 7.7485 107.65 107.65 36.80
With the nearest neighbours (Å) after each atom.
Atoms (fractional coordinates):
1 Tb 0.0000 0.0000 0.0000  6 Ho 3.39-3.45, 4 Cd 3.44, 2 Tb 3.46
2 Tb 0.1139 0.1139 0.6711  3 Cd 3.41-3.42, 7 Ho 3.41-3.54, 2 Tb 3.46-3.53
3 Tb 0.8861 0.8861 0.3289  3 Cd 3.41-3.42, 7 Ho 3.41-3.54, 2 Tb 3.46-3.53
4 Ho 0.2213 0.2213 0.3211  3 Cd 3.39, 4 Tb 3.39-3.54, 5 Ho 3.45-3.58
5 Ho 0.4436 0.4436 0.6663  2 Cd 3.44-3.46, 4 Ho 3.45-3.49, 6 Tb 3.45-3.47
6 Ho 0.5564 0.5564 0.3337  2 Cd 3.44-3.46, 4 Ho 3.45-3.49, 6 Tb 3.45-3.47
7 Ho 0.7787 0.7787 0.6789  3 Cd 3.39, 4 Tb 3.39-3.54, 5 Ho 3.45-3.58
8 Cd 0.3340 0.3340 0.0009  5 Ho 3.39-3.46, 5 Tb 3.41-3.44, 2 Cd 3.45
9 Cd 0.6660 0.6660 0.9991  5 Ho 3.39-3.46, 5 Tb 3.41-3.44, 2 Cd 3.45

=====

# 4
Entry from Alexandria: HfTi3Ga4 after structural relaxation (GGA-PBE).

Lattice parameters (Å, degrees): 8.6985 5.5356 5.5352 90.00 90.00 90.00
With the nearest neighbours (Å) after each atom.
Atoms (fractional coordinates):
1 Hf 0.0000 0.0000 0.0000  8 Ga 2.77-2.92, 4 Ti 2.95
2 Hf 0.5000 0.0000 0.5000  8 Ga 2.77-2.92, 4 Ti 2.95
3 Ti 0.0000 0.5000 0.5000  8 Ga 2.77-2.93, 4 Ti 2.91
4 Ti 0.2500 0.2574 0.2500  8 Ga 2.74-2.95, 2 Ti 2.91, 2 Hf 2.95
5 Ti 0.2500 0.7426 0.7500  8 Ga 2.74-2.95, 2 Ti 2.91, 2 Hf 2.95
6 Ti 0.5000 0.5000 0.0000  8 Ga 2.77-2.93, 4 Ti 2.91
7 Ti 0.7500 0.2574 0.2500  8 Ga 2.74-2.95, 2 Ti 2.91, 2 Hf 2.95
8 Ti 0.7500 0.7426 0.7500  8 Ga 2.74-2.95, 2 Ti 2.91, 2 Hf 2.95
9 Ga 0.0000 0.0000 0.5000  2 Hf 2.77, 6 Ti 2.77-2.95, 4 Ga 2.92
10 Ga 0.0000 0.5000 0.0000  6 Ti 2.77-2.91, 2 Hf 2.77, 4 Ga 2.93
11 Ga 0.2500 0.2483 0.7500  6 Ti 2.74-2.93, 2 Hf 2.92, 4 Ga 2.92-2.93
12 Ga 0.2500 0.7517 0.2500  6 Ti 2.74-2.93, 2 Hf 2.92, 4 Ga 2.92-2.93
13 Ga 0.5000 0.0000 0.0000  2 Hf 2.77, 6 Ti 2.77-2.95, 4 Ga 2.92
14 Ga 0.5000 0.5000 0.5000  6 Ti 2.77-2.91, 2 Hf 2.77, 4 Ga 2.93
15 Ga 0.7500 0.2483 0.7500  6 Ti 2.74-2.93, 4 Ga 2.92-2.93, 2 Hf 2.92
16 Ga 0.7500 0.7517 0.2500  6 Ti 2.74-2.93, 2 Hf 2.92, 4 Ga 2.92-2.93

=====

# 5
Entry from Alexandria: Tb4Pm3PrSe8 after structural relaxation (GGA-PBE).

Lattice parameters (Å, degrees): 8.3653 8.3653 8.3653 59.17 59.17 59.17
With the nearest neighbours (Å) after each atom.
Atoms (fractional coordinates):
1 Tb 0.0000 0.0000 0.0000  6 Se 2.88
2 Tb 0.0000 0.5000 0.5000  6 Se 2.90
3 Tb 0.5000 0.0000 0.5000  6 Se 2.90
4 Tb 0.5000 0.5000 0.0000  6 Se 2.90
5 Pm 0.0000 0.0000 0.5000  6 Se 2.98
6 Pm 0.0000 0.5000 0.0000  6 Se 2.98
7 Pm 0.5000 0.0000 0.0000  6 Se 2.98
8 Pr 0.5000 0.5000 0.5000  6 Se 3.00
9 Se 0.2448 0.2448 0.7485  3 Tb 2.88-2.90, 2 Pm 2.98, 1 Pr 3.00
10 Se 0.2448 0.7485 0.2448  3 Tb 2.88-2.90, 2 Pm 2.98, 1 Pr 3.00
11 Se 0.2515 0.7552 0.7552  3 Tb 2.88-2.90, 2 Pm 2.98, 1 Pr 3.00
12 Se 0.2533 0.2533 0.2533  3 Tb 2.90, 3 Pm 2.98
13 Se 0.7467 0.7467 0.7467  3 Tb 2.90, 3 Pm 2.98
14 Se 0.7485 0.2448 0.2448  3 Tb 2.88-2.90, 2 Pm 2.98, 1 Pr 3.00
15 Se 0.7552 0.2515 0.7552  3 Tb 2.88-2.90, 2 Pm 2.98, 1 Pr 3.00
16 Se 0.7552 0.7552 0.2515  3 Tb 2.88-2.90, 2 Pm 2.98, 1 Pr 3.00

Values from the calculation:
- Uncorrected formation energy: -28.8 eV/f.u.

=====

# 6
Entry from Alexandria: CePrMgIn after structural relaxation (GGA-PBE).

Lattice parameters (Å, degrees): 5.8655 5.8655 5.8655 131.05 131.05 71.74
With the nearest neighbours (Å) after each atom.
Atoms (fractional coordinates):
1 Ce 0.0000 0.0000 0.0000  4 In 3.40, 4 Mg 3.40, 4 Pr 3.44
2 Pr 0.5000 0.5000 0.0000  4 In 3.40, 4 Mg 3.40, 4 Ce 3.44
3 Mg 0.2500 0.7500 0.5000  4 Pr 3.40, 4 Ce 3.40, 4 In 3.44
4 In 0.7500 0.2500 0.5000  4 Pr 3.40, 4 Ce 3.40, 4 Mg 3.44

=====

Total energy for every record listed, in sequence, given in eV for the cell shown: -23.20; -21.64; -34.71; -97.83; -94.27; -15.91.